Entry 1:
PmSeS: optimized geometry, PBE.

```
PmSeS
1.0
-1.913 1.913 4.636
1.913 -1.913 4.636
1.913 1.913 -4.636
Pm Se S
1 1 1
direct
0.000 0.000 0.000 Pm
0.655 0.655 0.000 Se
0.364 0.364 0.000 S
```

Output
space group: I4mm (107)
total moment: 0.003 μB/f.u.
calculated total energy: -5.478 eV per atom
theoretical density: 6.3 Mg/m³

Entry 2:
GdErAl4Co2: optimized geometry, PBE.

```
GdErAl4Co2
1.0
7.009 0.000 0.000
0.000 2.025 4.955
0.000 -2.025 4.955
Gd Er Al Co
1 1 4 2
direct
0.000 0.000 0.000 Gd
0.500 0.879 0.879 Er
0.196 0.281 0.281 Al
0.308 0.599 0.599 Al
0.692 0.599 0.599 Al
0.804 0.281 0.281 Al
0.000 0.725 0.725 Co
0.500 0.155 0.155 Co
```

Output
space group: Amm2 (38)
total moment: 0.008 μB/f.u.
calculated total energy: -5.335 eV per atom
theoretical density: 6.5 Mg/m³